# 1
Entry from the Alexandria database: crystalline KMo3N at its relaxed geometry (PBE-GGA).

```
KMo3N
1.0
4.460 0.000 0.000
0.000 4.460 0.000
0.000 0.000 4.460
Mo K N
3 1 1
direct
0.000 0.500 0.000
0.000 0.000 0.500
0.500 0.000 0.000
0.000 0.000 0.000
0.500 0.500 0.500
```

Output
VASP energy: -4.23 eV per atom
size of the total moment: 0.00 μB per formula unit
relative energy among the computed polymorphs: 3181 meV/atom

---

# 2
Entry from the Alexandria database: crystalline KMoN2 at its relaxed geometry (PBE-GGA).

```
KMoN2
1.0
0.000 2.887 2.887
2.887 0.000 2.887
2.887 2.887 0.000
Mo K N
1 1 2
direct
0.500 0.500 0.500
0.000 0.000 0.000
0.250 0.250 0.250
0.750 0.750 0.750
```

Output
VASP energy: -5.71 eV per atom
size of the total moment: 1.06 μB per formula unit
relative energy among the computed polymorphs: 1837 meV/atom

---

# 3
Entry from the Alexandria database: crystalline KMo2N at its relaxed geometry (PBE-GGA).

```
KMo2N
1.0
-5.753 0.659 2.594
1.188 -4.882 3.874
-0.585 0.718 6.280
Mo K N
4 2 2
direct
0.375 0.125 0.250
0.375 0.625 0.250
0.375 0.625 0.750
0.875 0.625 0.750
0.000 0.000 0.000
0.750 0.250 0.500
0.500 0.500 0.000
0.250 0.750 0.500
```

Output
VASP energy: -6.99 eV per atom
size of the total moment: 0.00 μB per formula unit

---

# 4
Entry from the Alexandria database: crystalline KMoN2 at its relaxed geometry (PBE-GGA).

```
KMoN2
1.0
1.872 0.000 7.659
-0.936 1.621 7.659
-0.936 -1.621 7.659
Mo K N
1 1 2
direct
0.000 0.000 0.000
0.500 0.500 0.500
0.919 0.919 0.919
0.081 0.081 0.081
```

Output
VASP energy: -6.07 eV per atom
size of the total moment: 1.53 μB per formula unit
relative energy among the computed polymorphs: 1479 meV/atom

---

# 5
Entry from the Alexandria database: crystalline KMo3N at its relaxed geometry (PBE-GGA).

```
KMo3N
1.0
4.297 0.000 0.000
0.000 4.297 0.000
0.000 0.000 4.297
Mo K N
3 1 1
direct
0.000 0.500 0.000
0.000 0.000 0.500
0.500 0.000 0.000
0.500 0.500 0.500
0.000 0.000 0.000
```

Output
VASP energy: -7.41 eV per atom
size of the total moment: 0.00 μB per formula unit
relative energy among the computed polymorphs: 0 meV/atom

---

# 6
Entry from the Alexandria database: crystalline KMoN2 at its relaxed geometry (PBE-GGA).

```
KMoN2
1.0
6.045 0.000 0.000
-3.023 6.363 0.000
0.000 0.000 7.953
K Mo N
4 4 8
direct
0.673 0.345 0.076
0.327 0.655 0.924
0.827 0.655 0.576
0.173 0.345 0.424
0.942 0.884 0.145
0.058 0.116 0.855
0.558 0.116 0.645
0.442 0.884 0.355
0.594 0.189 0.410
0.406 0.811 0.590
0.906 0.811 0.910
0.094 0.189 0.090
0.632 0.764 0.250
0.868 0.236 0.750
0.368 0.236 0.750
0.132 0.764 0.250
```

Output
VASP energy: -7.53 eV per atom
size of the total moment: 0.00 μB per formula unit
relative energy among the computed polymorphs: 20 meV/atom

---

# 7
Entry from the Alexandria database: crystalline KMo2N2 at its relaxed geometry (PBE-GGA).

```
KMo2N2
1.0
6.929 0.000 0.000
0.000 6.929 0.000
0.000 0.000 2.849
Mo K N
4 2 4
direct
0.120 0.620 0.500
0.620 0.880 0.500
0.880 0.380 0.500
0.380 0.120 0.500
0.000 0.000 0.000
0.500 0.500 0.000
0.370 0.870 0.000
0.870 0.630 0.000
0.630 0.130 0.000
0.130 0.370 0.000
```

Output
VASP energy: -6.91 eV per atom
size of the total moment: 0.00 μB per formula unit
relative energy among the computed polymorphs: 882 meV/atom

---

# 8
Entry from the Alexandria database: crystalline KMoN2 at its relaxed geometry (PBE-GGA).

```
KMoN2
1.0
5.812 0.000 0.000
0.000 5.812 0.000
2.906 2.906 4.409
Mo K N
2 2 4
direct
0.000 0.000 0.000
0.750 0.250 0.500
0.500 0.500 0.000
0.250 0.750 0.500
0.781 0.125 0.250
0.969 0.625 0.250
0.375 0.219 0.750
0.875 0.031 0.750
```

Output
VASP energy: -7.54 eV per atom
size of the total moment: 0.00 μB per formula unit
relative energy among the computed polymorphs: 7 meV/atom